# 1
BiP3F | PBE-GGA | relaxed

Cell and atoms, written as POSCAR:
```
BiP3F
1.0
-2.4015 -3.6091 -1.2878
-0.0620 -1.4829 4.2718
-3.8315 2.2861 0.7380
P Bi F
3 1 1
direct
0.5000 0.0000 0.0000
0.0000 0.0000 0.5000
0.0000 0.5000 0.0000
0.5000 0.5000 0.5000
0.0000 0.0000 0.0000
```

Values from the calculation:
energy = -3.837 eV per atom
relative energy among the computed polymorphs = 0.0 meV per atom
magnetic moment = 0.00 μB/cell
calculated volume = 92.5 Å³ per cell
raw formation energy = 2.80 eV per formula unit
SG = Pm-3m, No. 221
crystal system = cubic

# 2
BiPF | PBE-GGA | relaxed

Cell and atoms, written as POSCAR:
```
BiPF
1.0
-2.1048 0.5325 2.4012
5.5735 -3.9418 5.7598
3.6861 7.5023 1.5674
P Bi F
4 4 4
direct
0.2500 0.0818 0.9854
0.7500 0.9182 0.0146
0.2500 0.5818 0.5146
0.7500 0.4182 0.4854
0.2500 0.1455 0.6663
0.2500 0.6455 0.8337
0.7500 0.8545 0.3337
0.7500 0.3545 0.1663
0.7500 0.9226 0.6188
0.2500 0.5774 0.1188
0.7500 0.4226 0.8812
0.2500 0.0774 0.3812
```

Values from the calculation:
energy = -4.531 eV per atom
magnetic moment = 0.00 μB/cell
calculated volume = 245.9 Å³ per cell
raw formation energy = -2.43 eV per formula unit
SG = Pnma, No. 62
crystal system = orthorhombic

# 3
BiPPdF2 | PBE-GGA | relaxed

Cell and atoms, written as POSCAR:
```
BiPPdF2
1.0
-0.4660 1.3565 3.8500
-3.9970 -4.1044 0.9623
2.9448 -2.5717 1.2626
F Pd Bi P
2 1 1 1
direct
0.5000 0.0000 0.0000
0.0000 0.0000 0.5000
0.0000 0.0000 0.0000
0.0000 0.5000 0.0000
0.5000 0.5000 0.5000
```

Values from the calculation:
energy = -4.139 eV per atom
magnetic moment = 0.67 μB/cell
calculated volume = 98.1 Å³ per cell
raw formation energy = -2.47 eV per formula unit
SG = P4/mmm, No. 123
crystal system = tetragonal

# 4
BiP2PtF | PBE-GGA | relaxed

Cell and atoms, written as POSCAR:
```
BiP2PtF
1.0
-0.2262 -0.0141 4.4798
-1.1292 -5.8847 -0.0755
4.3994 -0.8470 0.2194
P Bi Pt F
2 1 1 1
direct
0.0000 0.0000 0.5000
0.5000 0.0000 0.0000
0.0000 0.5000 0.0000
0.0000 0.0000 0.0000
0.5000 0.5000 0.5000
```

Values from the calculation:
energy = -4.324 eV per atom
magnetic moment = 0.00 μB/cell
calculated volume = 120.6 Å³ per cell
raw formation energy = 0.99 eV per formula unit
SG = P4/mmm, No. 123
crystal system = tetragonal

# 5
Rb2BiPF6 | PBE-GGA | relaxed

Cell and atoms, written as POSCAR:
```
Rb2BiPF6
1.0
6.1372 0.0000 0.0000
0.0000 6.1372 0.0000
3.0686 3.0686 5.9074
P F Rb Bi
1 6 2 1
direct
0.5000 0.5000 0.0000
0.8090 0.8090 0.3821
0.2610 0.2610 0.0000
0.7390 0.2610 0.0000
0.2610 0.7390 0.0000
0.7390 0.7390 0.0000
0.1910 0.1910 0.6179
0.7500 0.2500 0.5000
0.2500 0.7500 0.5000
0.0000 0.0000 0.0000
```

Values from the calculation:
energy = -4.303 eV per atom
magnetic moment = 0.00 μB/cell
calculated volume = 222.5 Å³ per cell
raw formation energy = -20.58 eV per formula unit
SG = I4/mmm, No. 139
crystal system = tetragonal

# 6
ReBiPF2 | PBE-GGA | relaxed

Cell and atoms, written as POSCAR:
```
ReBiPF2
1.0
4.1903 0.0000 0.0000
0.0000 4.8328 0.0000
0.0000 0.0000 4.1903
P Bi F Re
1 1 2 1
direct
0.0000 0.5000 0.0000
0.5000 0.5000 0.5000
0.0000 0.0000 0.5000
0.5000 0.0000 0.0000
0.0000 0.0000 0.0000
```

Values from the calculation:
energy = -5.556 eV per atom
magnetic moment = 1.23 μB/cell
calculated volume = 84.9 Å³ per cell
raw formation energy = -2.30 eV per formula unit
SG = P4/mmm, No. 123
crystal system = tetragonal

# 7
BiPS2F | PBE-GGA | relaxed

Cell and atoms, written as POSCAR:
```
BiPS2F
1.0
-1.4964 -1.4253 4.7191
3.7477 -3.5329 0.1214
2.2851 2.4746 1.4720
P S Bi F
1 2 1 1
direct
0.0000 0.0000 0.5000
0.5000 0.0000 0.0000
0.0000 0.5000 0.0000
0.5000 0.5000 0.5000
0.0000 0.0000 0.0000
```

Values from the calculation:
energy = -3.537 eV per atom
relative energy among the computed polymorphs = 0.0 meV per atom
magnetic moment = 0.00 μB/cell
calculated volume = 97.6 Å³ per cell
raw formation energy = 1.73 eV per formula unit
SG = P4/mmm, No. 123
crystal system = tetragonal

# 8
BiP2SF | PBE-GGA | relaxed

Cell and atoms, written as POSCAR:
```
BiP2SF
1.0
-0.1197 -2.6288 -4.8015
1.9107 -4.5207 2.4274
-4.8200 -1.5245 0.9549
S F P Bi
1 1 2 1
direct
0.0000 0.0000 0.5000
0.5000 0.5000 0.5000
0.5000 0.0000 0.0000
0.0000 0.5000 0.0000
0.0000 0.0000 0.0000
```

Values from the calculation:
energy = -3.058 eV per atom
relative energy among the computed polymorphs = 661.0 meV per atom
magnetic moment = 3.00 μB/cell
calculated volume = 154.2 Å³ per cell
raw formation energy = 5.41 eV per formula unit
SG = P4/mmm, No. 123
crystal system = tetragonal

# 9
BiPS2F | PBE-GGA | relaxed

Cell and atoms, written as POSCAR:
```
BiPS2F
1.0
-1.1576 -4.6251 -2.1621
-0.0457 -2.2075 4.7467
-5.4111 1.1325 0.4746
S F Bi P
2 1 1 1
direct
0.5000 0.0000 0.0000
0.0000 0.5000 0.0000
0.5000 0.5000 0.5000
0.0000 0.0000 0.0000
0.0000 0.0000 0.5000
```

Values from the calculation:
energy = -3.007 eV per atom
relative energy among the computed polymorphs = 529.7 meV per atom
magnetic moment = 0.08 μB/cell
calculated volume = 152.1 Å³ per cell
raw formation energy = 4.38 eV per formula unit
SG = P4/mmm, No. 123
crystal system = tetragonal

# 10
BiP2SF | PBE-GGA | relaxed

Cell and atoms, written as POSCAR:
```
BiP2SF
1.0
-2.4694 1.4495 2.9633
-2.6944 -3.0219 -0.7671
2.6708 -3.3641 3.8713
P S F Bi
2 1 1 1
direct
0.0000 0.5000 0.0000
0.5000 0.0000 0.0000
0.0000 0.0000 0.5000
0.0000 0.0000 0.0000
0.5000 0.5000 0.5000
```

Values from the calculation:
energy = -3.719 eV per atom
relative energy among the computed polymorphs = 0.0 meV per atom
magnetic moment = 0.00 μB/cell
calculated volume = 98.2 Å³ per cell
raw formation energy = 2.10 eV per formula unit
SG = P4/mmm, No. 123
crystal system = tetragonal

# 11
YBi2PF | PBE-GGA | relaxed

Cell and atoms, written as POSCAR:
```
YBi2PF
1.0
5.7418 0.0000 0.0000
0.0000 3.8479 0.0000
0.0000 0.0000 5.7418
Bi P F Y
2 1 1 1
direct
0.5000 0.0000 0.0000
0.0000 0.0000 0.5000
0.0000 0.0000 0.0000
0.0000 0.5000 0.0000
0.5000 0.5000 0.5000
```

Values from the calculation:
energy = -4.816 eV per atom
magnetic moment = 0.00 μB/cell
calculated volume = 126.9 Å³ per cell
raw formation energy = -2.57 eV per formula unit
SG = P4/mmm, No. 123
crystal system = tetragonal

# 12
PaBi2F8 | PBE-GGA | relaxed

Cell and atoms, written as POSCAR:
```
PaBi2F8
1.0
-3.6838 -0.3105 1.3783
-1.1583 -2.6148 -3.6851
5.2035 -6.5073 6.7944
F Pa Bi
8 1 2
direct
0.8075 0.6017 0.6150
0.5579 0.4419 0.1157
0.4421 0.5581 0.8843
0.9720 0.1891 0.9440
0.3938 0.9860 0.7876
0.6062 0.0140 0.2124
0.0280 0.8109 0.0560
0.1925 0.3983 0.3850
0.5000 0.0000 0.0000
0.8171 0.0999 0.6342
0.1829 0.9001 0.3658
```

Values from the calculation:
energy = -5.722 eV per atom
magnetic moment = 0.00 μB/cell
calculated volume = 186.4 Å³ per cell
raw formation energy = -30.72 eV per formula unit
SG = C2/m, No. 12
crystal system = monoclinic